1.
The following is a PBE calculation of a relaxed Sc5CdNi crystal, from the Alexandria database.

The energy of formation is -93 meV/atom. The space-group type is C2/c, No. 15.

a = 5.310 Å, b = 5.310 Å, c = 11.286 Å
α = 79.45°, β = 79.45°, γ = 82.85°
Fractional positions:
Sc 0.918 0.587 0.119
Sc 0.202 0.519 0.578
Sc 0.587 0.918 0.619
Sc 0.973 0.027 0.250
Sc 0.481 0.798 0.922
Sc 0.519 0.202 0.078
Sc 0.027 0.973 0.750
Sc 0.413 0.082 0.381
Sc 0.798 0.481 0.422
Sc 0.082 0.413 0.881
Cd 0.385 0.615 0.250
Cd 0.615 0.385 0.750
Ni 0.000 0.000 0.000
Ni 0.000 0.000 0.500


2.
The following is a PBE calculation of a relaxed ScCd2Ni crystal, from the Alexandria database.

The energy of formation is 50 meV/atom. The space-group type is C2/m, No. 12.

a = 5.078 Å, b = 5.743 Å, c = 3.024 Å
α = 78.06°, β = 82.68°, γ = 114.11°
Fractional positions:
Cd 0.000 0.000 0.000
Cd 0.500 0.000 0.500
Ni 0.000 0.500 0.500
Sc 0.500 0.500 0.000


3.
The following is a PBE calculation of a relaxed ScCdNi2Te crystal, from the Alexandria database.

The space-group type is P4/mmm, No. 123. The value obtained for the formation energy from raw total energies is 326 meV per atom.

a = 4.683 Å, b = 5.332 Å, c = 4.683 Å
α = 90.00°, β = 90.00°, γ = 90.00°
Fractional positions:
Sc 0.000 0.500 0.000
Ni 0.000 0.000 0.500
Ni 0.500 0.000 0.000
Te 0.000 0.000 0.000
Cd 0.500 0.500 0.500


4.
The following is a PBE calculation of a relaxed ScCdNi2Te crystal, from the Alexandria database.

The space-group type is P4/mmm, No. 123. The value obtained for the formation energy from raw total energies is 838 meV per atom.

a = 4.562 Å, b = 5.548 Å, c = 4.562 Å
α = 90.00°, β = 90.00°, γ = 90.00°
Fractional positions:
Sc 0.000 0.000 0.000
Ni 0.000 0.000 0.500
Ni 0.500 0.000 0.000
Te 0.500 0.500 0.500
Cd 0.000 0.500 0.000


5.
The following is a PBE calculation of a relaxed TmScCdNi crystal, from the Alexandria database.

The energy of formation is -276 meV/atom. The space-group type is F-43m, No. 216.

a = 4.879 Å, b = 4.879 Å, c = 4.879 Å
α = 60.00°, β = 60.00°, γ = 60.00°
Fractional positions:
Sc 0.000 0.000 0.000
Ni 0.250 0.250 0.250
Tm 0.500 0.500 0.500
Cd 0.750 0.750 0.750


6.
The following is a PBE calculation of a relaxed TmScCdNi crystal, from the Alexandria database.

The energy of formation is -396 meV/atom. The space-group type is P4mm, No. 99.

a = 3.330 Å, b = 3.330 Å, c = 7.350 Å
α = 90.00°, β = 90.00°, γ = 90.00°
Fractional positions:
Tm 0.500 0.500 0.783
Sc 0.500 0.500 0.361
Cd 0.000 0.000 0.088
Ni 0.000 0.000 0.552


7.
The following is a PBE calculation of a relaxed Cd2NiSe crystal, from the Alexandria database.

The space-group type is R3m, No. 160. The value obtained for the formation energy from raw total energies is -67 meV per atom.

a = 6.741 Å, b = 6.741 Å, c = 6.741 Å
α = 33.81°, β = 33.81°, γ = 33.81°
Fractional positions:
Cd 0.994 0.994 0.994
Cd 0.765 0.765 0.765
Ni 0.525 0.525 0.525
Se 0.215 0.215 0.215


8.
The following is a PBE calculation of a relaxed CdNiSe2 crystal, from the Alexandria database.

The space-group type is Cmmm, No. 65. The value obtained for the formation energy from raw total energies is 248 meV per atom.

a = 4.634 Å, b = 4.634 Å, c = 3.618 Å
α = 90.00°, β = 90.00°, γ = 102.75°
Fractional positions:
Cd 0.500 0.000 0.500
Ni 0.000 0.500 0.500
Se 0.000 0.000 0.000
Se 0.500 0.500 0.000


9.
The following is a PBE calculation of a relaxed CdNi2Se2 crystal, from the Alexandria database.

The space-group type is P4/mbm, No. 127. The value obtained for the formation energy from raw total energies is 31 meV per atom.

a = 6.945 Å, b = 6.945 Å, c = 3.385 Å
α = 90.00°, β = 90.00°, γ = 90.00°
Fractional positions:
Ni 0.371 0.871 0.000
Ni 0.871 0.629 0.000
Ni 0.629 0.129 0.000
Ni 0.129 0.371 0.000
Se 0.166 0.666 0.500
Se 0.666 0.834 0.500
Se 0.834 0.334 0.500
Se 0.334 0.166 0.500
Cd 0.000 0.000 0.000
Cd 0.500 0.500 0.000


10.
The following is a PBE calculation of a relaxed CdNiSe2 crystal, from the Alexandria database.

The space-group type is P2/m, No. 10. The value obtained for the formation energy from raw total energies is -218 meV per atom.

a = 3.462 Å, b = 5.891 Å, c = 7.443 Å
α = 45.51°, β = 90.00°, γ = 90.00°
Fractional positions:
Cd 0.500 0.250 0.250
Ni 0.500 0.750 0.750
Se 0.000 0.797 0.935
Se 0.000 0.703 0.565


11.
The following is a PBE calculation of a relaxed CdNiSe2 crystal, from the Alexandria database.

The space-group type is Cmmm, No. 65. The value obtained for the formation energy from raw total energies is 86 meV per atom.

a = 3.091 Å, b = 3.091 Å, c = 9.610 Å
α = 90.00°, β = 90.00°, γ = 112.60°
Fractional positions:
Cd 0.500 0.500 0.250
Ni 0.500 0.500 0.750
Se 0.000 0.000 0.921
Se 0.000 0.000 0.579


12.
The following is a PBE calculation of a relaxed CdNiSe2 crystal, from the Alexandria database.

The space-group type is R-3m, No. 166. The value obtained for the formation energy from raw total energies is 82 meV per atom.

a = 7.853 Å, b = 7.853 Å, c = 7.853 Å
α = 29.88°, β = 29.88°, γ = 29.88°
Fractional positions:
Ni 0.000 0.000 0.000
Se 0.902 0.902 0.902
Se 0.098 0.098 0.098
Cd 0.500 0.500 0.500